[1]
Density functional theory data (PBE-GGA) for LiAcTm2Se4 after structural relaxation.

Computed properties:
Energy relative to the elements, uncorrected, eV/atom: -1.6500

abc: 4.103 13.766 13.957
angles: 90.00 90.00 90.00
Space group Cmcm (No. 63)
Inequivalent atoms, fractional coordinates:
Li1 0.000 0.147 0.250 x4
Ac1 0.000 0.121 0.750 x4
Tm1 0.000 0.371 0.557 x8
Se1 0.000 0.000 0.000 x4
Se2 0.000 0.267 0.117 x8
Se3 0.000 0.450 0.750 x4

[2]
Density functional theory data (PBE-GGA) for LiAc2TmSe4 after structural relaxation.

Computed properties:
Energy relative to the elements, uncorrected, eV/atom: -1.7284

abc: 7.331 4.253 7.366
angles: 90.00 109.46 90.00
Space group P2/m (No. 10)
Inequivalent atoms, fractional coordinates:
Li1 0.000 0.000 0.000 x1
Ac1 0.500 0.000 0.500 x1
Ac2 0.500 0.500 0.000 x1
Tm1 0.000 0.500 0.500 x1
Se1 0.216 0.000 0.741 x2
Se2 0.218 0.500 0.240 x2

[3]
Density functional theory data (PBE-GGA) for LiAcTmSe3 after structural relaxation.

Computed properties:
Energy relative to the elements, uncorrected, eV/atom: -1.7001

abc: 8.574 4.113 9.052
angles: 90.00 104.85 90.00
Space group P2_1/m (No. 11)
Inequivalent atoms, fractional coordinates:
Li1 0.088 0.250 0.088 x2
Ac1 0.194 0.250 0.731 x2
Tm1 0.332 0.750 0.345 x2
Se1 0.104 0.250 0.367 x2
Se2 0.220 0.750 0.013 x2
Se3 0.446 0.750 0.672 x2

[4]
Density functional theory data (PBE-GGA) for LiAc3Tm3Se8 after structural relaxation.

Computed properties:
Energy relative to the elements, uncorrected, eV/atom: -1.7872

abc: 8.3080 8.3080 21.1714
angles: 90.00 90.00 120.00
Space group R-3m (No. 166, hexagonal axes)
Inequivalent atoms, fractional coordinates:
Li1 0.0000 0.0000 0.0000 x3
Ac1 0.0000 0.5000 0.5000 x9
Tm1 0.0000 0.5000 0.0000 x9
Se1 0.0000 0.0000 0.2608 x6
Se2 0.0051 0.5026 0.2591 x18

[5]
Density functional theory data (PBE-GGA) for Li3Ac2TmSe6 after structural relaxation.

Computed properties:
Energy relative to the elements, uncorrected, eV/atom: -1.7046

abc: 17.990 4.254 7.900
angles: 90.00 90.87 90.00
Space group C2/m (No. 12)
Inequivalent atoms, fractional coordinates:
Li1 0.000 0.000 0.000 x2
Li2 0.122 0.500 0.229 x4
Ac1 0.193 0.500 0.755 x4
Tm1 0.000 0.000 0.500 x2
Se1 0.016 0.500 0.742 x4
Se2 0.157 0.000 0.025 x4
Se3 0.158 0.000 0.472 x4

[6]
Density functional theory data (PBE-GGA) for Li3Ac2USe6 after structural relaxation.

Computed properties:
Energy relative to the elements, uncorrected, eV/atom: -1.4871

abc: 7.482 13.181 6.956
angles: 90.00 109.61 90.00
Space group C2/m (No. 12)
Inequivalent atoms, fractional coordinates:
Li1 0.000 0.000 0.000 x2
Li2 0.000 0.358 0.000 x4
Ac1 0.000 0.169 0.500 x4
U1 0.000 0.500 0.500 x2
Se1 0.239 0.343 0.764 x8
Se2 0.239 0.500 0.242 x4

[7]
Density functional theory data (PBE-GGA) for LiAcUSe4 after structural relaxation.

Computed properties:
Energy relative to the elements, uncorrected, eV/atom: -1.3798

abc: 6.771 6.761 8.416
angles: 90.00 107.75 90.00
Space group P2_1/m (No. 11)
Inequivalent atoms, fractional coordinates:
Li1 0.243 0.250 0.322 x2
Ac1 0.239 0.750 0.056 x2
U1 0.220 0.750 0.554 x2
Se1 0.021 0.011 0.730 x4
Se2 0.442 0.250 0.128 x2
Se3 0.468 0.250 0.601 x2

[8]
Density functional theory data (PBE-GGA) for Li2AcUSe4 after structural relaxation.

Computed properties:
Energy relative to the elements, uncorrected, eV/atom: -1.3910

abc: 7.020 4.248 7.428
angles: 90.00 110.83 90.00
Space group P2/m (No. 10)
Inequivalent atoms, fractional coordinates:
Li1 0.000 0.000 0.000 x1
Li2 0.000 0.500 0.500 x1
Ac1 0.500 0.000 0.500 x1
U1 0.500 0.500 0.000 x1
Se1 0.233 0.500 0.226 x2
Se2 0.242 0.000 0.761 x2